Entry from the Alexandria database: PrY5Er3 after structural relaxation (GGA-PBE).

Energy relative to the lowest polymorph listed for this composition (meV per atom): 0
Energy (eV per atom): -5.420
Energy relative to the elements (eV per formula unit): 2.007
Symmetry: C2/c (15)
Density (kg/m3): 6012

a = 8.6733 Å, b = 8.6733 Å, c = 11.8557 Å
α = 108.07°, β = 108.07°, γ = 45.65°
Closest atoms and distances in Å follow each position.
Fractional positions:
Pr 0.2025 0.7975 0.7500  4 Er 3.26-3.42, 6 Y 3.33-3.54
Pr 0.7975 0.2025 0.2500  4 Er 3.26-3.42, 6 Y 3.33-3.54
Y 0.0835 0.4760 0.7374  2 Er 3.36-3.58, 5 Y 3.44-3.60, 1 Pr 3.54
Y 0.1380 0.2321 0.9523  2 Er 3.21-3.30, 4 Y 3.39-3.56, 1 Pr 3.54
Y 0.2321 0.1380 0.4523  2 Er 3.21-3.30, 4 Y 3.39-3.56, 1 Pr 3.54
Y 0.3025 0.6975 0.2500  2 Pr 3.33-3.40, 4 Er 3.42-3.60, 2 Y 3.56
Y 0.4760 0.0835 0.2374  2 Er 3.36-3.58, 5 Y 3.44-3.60, 1 Pr 3.54
Y 0.5240 0.9165 0.7626  2 Er 3.36-3.58, 5 Y 3.44-3.60, 1 Pr 3.54
Y 0.6975 0.3025 0.7500  2 Pr 3.33-3.40, 4 Er 3.42-3.60, 2 Y 3.56
Y 0.7679 0.8620 0.5477  2 Er 3.21-3.30, 4 Y 3.39-3.56, 1 Pr 3.54
Y 0.8620 0.7679 0.0477  2 Er 3.21-3.30, 4 Y 3.39-3.56, 1 Pr 3.54
Y 0.9165 0.5240 0.2626  2 Er 3.36-3.58, 5 Y 3.44-3.60, 1 Pr 3.54
Er 0.0000 0.0000 0.0000  2 Y 3.21, 2 Pr 3.26, 2 Er 3.44
Er 0.0000 0.0000 0.5000  2 Y 3.21, 2 Pr 3.26, 2 Er 3.44
Er 0.3450 0.4450 0.4882  4 Y 3.30-3.58, 2 Er 3.34-3.44, 1 Pr 3.42
Er 0.4450 0.3450 0.9882  4 Y 3.30-3.58, 2 Er 3.34-3.44, 1 Pr 3.42
Er 0.5550 0.6550 0.0118  4 Y 3.30-3.58, 2 Er 3.34-3.44, 1 Pr 3.42
Er 0.6550 0.5550 0.5118  4 Y 3.30-3.58, 2 Er 3.34-3.44, 1 Pr 3.42